An optimized crystal structure of Er6CoAg, computed with PBE.

a = 6.5589 Å, b = 6.5589 Å, c = 18.9589 Å
α = 90.00°, β = 90.00°, γ = 120.00°
Space group R-3 (No. 148, hexagonal axes)
Symmetry-distinct sites (fractional):
Er 0.0008 0.3582 0.4116 (multiplicity 18)
Co 0.0000 0.0000 0.0000 (multiplicity 3)
Ag 0.0000 0.0000 0.5000 (multiplicity 3)

Output
E = -111.8 eV per cell
DOS at the Fermi energy = 30.7 states/eV per cell
Total magnetization = 0.0 μB/f.u.
Energy relative to the elements = 0.0105 eV/atom
Crystal system = trigonal

An optimized crystal structure of LiNdInHg, computed with PBE.

a = 7.3266 Å, b = 7.3266 Å, c = 7.3266 Å
α = 90.00°, β = 90.00°, γ = 90.00°
Space group F-43m (No. 216)
Symmetry-distinct sites (fractional):
Li 0.0000 0.0000 0.0000 (multiplicity 4)
Nd 0.0000 0.0000 0.5000 (multiplicity 4)
In 0.2500 0.2500 0.7500 (multiplicity 4)
Hg 0.2500 0.2500 0.2500 (multiplicity 4)

Output
E = -45.8 eV per cell
DOS at the Fermi energy = 7.8 states/eV per cell
Total magnetization = 0.0 μB/f.u.
Energy relative to the elements = -0.4300 eV/atom
Crystal system = cubic

An optimized crystal structure of Zr2SbAs, computed with PBE.

a = 3.7490 Å, b = 4.6056 Å, c = 10.0085 Å
α = 90.00°, β = 90.00°, γ = 90.00°
Space group Imm2 (No. 44)
Symmetry-distinct sites (fractional):
Zr 0.0000 0.0000 0.0000 (multiplicity 2)
Zr 0.0000 0.5000 0.2249 (multiplicity 2)
Sb 0.0000 0.0000 0.4783 (multiplicity 2)
As 0.0000 0.5000 0.7036 (multiplicity 2)

Output
E = -55.9 eV per cell
DOS at the Fermi energy = 6.0 states/eV per cell
Total magnetization = 0.0 μB/f.u.
Crystal system = orthorhombic
Formation energy without anion corrections = -522.5 meV per atom

An optimized crystal structure of Er2PaRu3, computed with PBE.

a = 3.3596 Å, b = 5.5329 Å, c = 13.5518 Å
α = 90.00°, β = 90.00°, γ = 90.00°
Space group Immm (No. 71)
Symmetry-distinct sites (fractional):
Er 0.0000 0.0000 0.1668 (multiplicity 4)
Pa 0.0000 0.0000 0.5000 (multiplicity 2)
Ru 0.0000 0.5000 0.1514 (multiplicity 4)
Ru 0.0000 0.5000 0.5000 (multiplicity 2)

Output
E = -95.1 eV per cell
DOS at the Fermi energy = 8.0 states/eV per cell
Relative energy among the computed polymorphs = 33.1 kJ per mole of atoms
Total magnetization = 0.0 μB/f.u.
Energy relative to the elements = -0.1824 eV/atom
Crystal system = orthorhombic

An optimized crystal structure of NbN2OF, computed with PBE.

a = 4.2184 Å, b = 4.2184 Å, c = 3.8999 Å
α = 90.00°, β = 90.00°, γ = 90.00°
Space group P4/mmm (No. 123)
Symmetry-distinct sites (fractional):
Nb 0.0000 0.0000 0.0000 (multiplicity 1)
N 0.0000 0.5000 0.0000 (multiplicity 2)
O 0.0000 0.0000 0.5000 (multiplicity 1)
F 0.5000 0.5000 0.5000 (multiplicity 1)

Output
E = -32.8 eV per cell
DOS at the Fermi energy = 3.6 states/eV per cell
Total magnetization = 3.8 μB/f.u.
Crystal system = tetragonal
Formation energy without anion corrections = 155.8 meV per atom

An optimized crystal structure of MgTlZn2, computed with PBE.

a = 4.2458 Å, b = 4.2458 Å, c = 4.4382 Å
α = 90.00°, β = 90.00°, γ = 90.00°
Space group P4/mmm (No. 123)
Symmetry-distinct sites (fractional):
Mg 0.0000 0.0000 0.0000 (multiplicity 1)
Tl 0.5000 0.5000 0.0000 (multiplicity 1)
Zn 0.0000 0.5000 0.5000 (multiplicity 2)

Output
E = -6.2 eV per cell
DOS at the Fermi energy = 0.8 states/eV per cell
Relative energy among the computed polymorphs = 2.0 kJ per mole of atoms
Total magnetization = 0.0 μB/f.u.
Energy relative to the elements = 0.0739 eV/atom
Crystal system = tetragonal

An optimized crystal structure of Ti5GaSb, computed with PBE.

a = 9.5565 Å, b = 5.3783 Å, c = 10.1129 Å
α = 90.00°, β = 101.95°, γ = 90.00°
Space group C2/c (No. 15)
Symmetry-distinct sites (fractional):
Ti 0.0000 0.1993 0.2500 (multiplicity 4)
Ti 0.1701 0.4619 0.0487 (multiplicity 8)
Ti 0.2341 0.0537 0.6833 (multiplicity 8)
Ga 0.0000 0.0000 0.0000 (multiplicity 4)
Sb 0.0000 0.3089 0.7500 (multiplicity 4)

Output
E = -188.7 eV per cell
DOS at the Fermi energy = 36.7 states/eV per cell
Total magnetization = 0.0 μB/f.u.
Crystal system = monoclinic
Formation energy without anion corrections = -80.4 meV per atom

An optimized crystal structure of Y2HoTmTe5, computed with PBE.

a = 5.4979 Å, b = 5.4979 Å, c = 11.4680 Å
α = 90.00°, β = 90.00°, γ = 90.00°
Space group P4/mmm (No. 123)
Symmetry-distinct sites (fractional):
Y 0.0000 0.0000 0.1530 (multiplicity 2)
Ho 0.5000 0.5000 0.5000 (multiplicity 1)
Tm 0.5000 0.5000 0.0000 (multiplicity 1)
Te 0.0000 0.0000 0.5000 (multiplicity 1)
Te 0.0000 0.5000 0.0000 (multiplicity 2)
Te 0.5000 0.5000 0.2536 (multiplicity 2)

Output
E = -43.8 eV per cell
DOS at the Fermi energy = 3.9 states/eV per cell
Total magnetization = 0.7 μB/f.u.
Crystal system = tetragonal
Formation energy without anion corrections = -682.7 meV per atom

An optimized crystal structure of FeNiIr2, computed with PBE.

a = 5.3501 Å, b = 7.2075 Å, c = 2.6834 Å
α = 90.00°, β = 90.00°, γ = 90.00°
Space group Cmmm (No. 65)
Symmetry-distinct sites (fractional):
Fe 0.0000 0.0000 0.0000 (multiplicity 2)
Ni 0.0000 0.5000 0.0000 (multiplicity 2)
Ir 0.2500 0.2500 0.5000 (multiplicity 4)

Output
E = -64.0 eV per cell
DOS at the Fermi energy = 9.0 states/eV per cell
Relative energy among the computed polymorphs = 3.5 kJ per mole of atoms
Total magnetization = 2.5 μB/f.u.
Energy relative to the elements = -0.0050 eV/atom
Crystal system = orthorhombic

An optimized crystal structure of TbEuYCd, computed with PBE.

a = 7.8153 Å, b = 7.8153 Å, c = 7.8153 Å
α = 90.00°, β = 90.00°, γ = 90.00°
Space group F-43m (No. 216)
Symmetry-distinct sites (fractional):
Tb 0.0000 0.0000 0.0000 (multiplicity 4)
Eu 0.2500 0.2500 0.2500 (multiplicity 4)
Y 0.0000 0.0000 0.5000 (multiplicity 4)
Cd 0.2500 0.2500 0.7500 (multiplicity 4)

Output
E = -89.3 eV per cell
DOS at the Fermi energy = 17.8 states/eV per cell
Total magnetization = 7.1 μB/f.u.
Energy relative to the elements = -0.0082 eV/atom
Crystal system = cubic

An optimized crystal structure of TlNi2Rh, computed with PBE.

a = 2.8679 Å, b = 4.1364 Å, c = 5.1872 Å
α = 90.00°, β = 105.88°, γ = 90.00°
Space group Pm (No. 6)
Symmetry-distinct sites (fractional):
Tl 0.0000 0.0000 0.0000 (multiplicity 1)
Ni 0.6079 0.5000 0.2172 (multiplicity 1)
Ni 0.7389 0.0000 0.4826 (multiplicity 1)
Rh 0.3258 0.5000 0.6586 (multiplicity 1)

Output
E = -20.2 eV per cell
DOS at the Fermi energy = 5.6 states/eV per cell
Relative energy among the computed polymorphs = 7.3 kJ per mole of atoms
Total magnetization = 1.4 μB/f.u.
Energy relative to the elements = 0.2715 eV/atom
Crystal system = monoclinic

An optimized crystal structure of FeIr2W, computed with PBE.

a = 9.0339 Å, b = 2.7324 Å, c = 4.6929 Å
α = 90.00°, β = 99.93°, γ = 90.00°
Space group C2/m (No. 12)
Symmetry-distinct sites (fractional):
Fe 0.0000 0.0000 0.0000 (multiplicity 2)
Ir 0.2490 0.5000 0.2443 (multiplicity 4)
W 0.0000 0.5000 0.5000 (multiplicity 2)

Output
E = -79.0 eV per cell
DOS at the Fermi energy = 6.7 states/eV per cell
Relative energy among the computed polymorphs = 14.6 kJ per mole of atoms
Total magnetization = 2.2 μB/f.u.
Energy relative to the elements = -0.0845 eV/atom
Crystal system = monoclinic